# NaCaPt4 (GGA-PBE, optimized geometry)
# E	-126.75	eV per cell
# E_form	-0.701	eV per atom
# DOS(E_F)	9.87	states/eV/cell
data_NaCaPt4
_cell_length_a 7.6448
_cell_length_b 7.6448
_cell_length_c 7.6448
_cell_angle_alpha 90.00
_cell_angle_beta 90.00
_cell_angle_gamma 90.00
_space_group_name_H-M_alt 'F -4 3 m'
_space_group_IT_number 216
_space_group_name_Hall 'F -4 2 3'
loop_
_atom_site_label
_atom_site_fract_x
_atom_site_fract_y
_atom_site_fract_z
Na1 0.0000 0.0000 0.0000
Ca1 0.2500 0.2500 0.2500
Pt1 0.1251 0.1251 0.6251